Density functional theory data (PBE-GGA) for crystalline BaZnCd2 at its relaxed geometry.

a = 7.5208 Å, b = 7.5208 Å, c = 7.5208 Å
α = 90.00°, β = 90.00°, γ = 90.00°
Fractional positions:
1 Ba 0.0000 0.0000 0.0000
2 Ba 0.0000 0.5000 0.5000
3 Ba 0.5000 0.0000 0.5000
4 Ba 0.5000 0.5000 0.0000
5 Zn 0.2500 0.2500 0.2500
6 Zn 0.2500 0.7500 0.7500
7 Zn 0.7500 0.2500 0.7500
8 Zn 0.7500 0.7500 0.2500
9 Cd 0.0000 0.0000 0.5000
10 Cd 0.0000 0.5000 0.0000
11 Cd 0.2500 0.2500 0.7500
12 Cd 0.2500 0.7500 0.2500
13 Cd 0.5000 0.0000 0.0000
14 Cd 0.5000 0.5000 0.5000
15 Cd 0.7500 0.2500 0.2500
16 Cd 0.7500 0.7500 0.7500

SG: F-43m, No. 216
Crystal system: cubic
DFT total energy: -1.403 eV/atom

---

Density functional theory data (PBE-GGA) for crystalline HfB2O5 at its relaxed geometry.

a = 4.3676 Å, b = 6.8914 Å, c = 8.9495 Å
α = 90.00°, β = 90.78°, γ = 90.00°
Fractional positions:
1 Hf 0.0014 0.1128 0.1709
2 Hf 0.0014 0.3872 0.6709
3 Hf 0.9986 0.6128 0.3291
4 Hf 0.9986 0.8872 0.8291
5 B 0.4640 0.0868 0.6662
6 B 0.4640 0.4132 0.1662
7 B 0.4732 0.7285 0.5765
8 B 0.4732 0.7715 0.0765
9 B 0.5268 0.2285 0.9235
10 B 0.5268 0.2715 0.4235
11 B 0.5360 0.5868 0.8338
12 B 0.5360 0.9132 0.3338
13 O 0.2116 0.5900 0.8216
14 O 0.2116 0.9100 0.3216
15 O 0.2311 0.5961 0.5320
16 O 0.2311 0.9039 0.0320
17 O 0.3025 0.1553 0.8079
18 O 0.3025 0.3447 0.3079
19 O 0.3277 0.6054 0.1504
20 O 0.3277 0.8946 0.6504
21 O 0.3449 0.2218 0.5544
22 O 0.3449 0.2782 0.0544
23 O 0.6551 0.7218 0.9456
24 O 0.6551 0.7782 0.4456
25 O 0.6723 0.1054 0.3496
26 O 0.6723 0.3946 0.8496
27 O 0.6975 0.6553 0.6921
28 O 0.6975 0.8447 0.1921
29 O 0.7689 0.0961 0.9680
30 O 0.7689 0.4039 0.4680
31 O 0.7884 0.0900 0.6784
32 O 0.7884 0.4100 0.1784

SG: P2_1/c, No. 14
Crystal system: monoclinic
Relative energy among the computed polymorphs: 0 meV per atom

---

Density functional theory data (PBE-GGA) for crystalline PmAl at its relaxed geometry.

a = 6.8596 Å, b = 6.8596 Å, c = 6.8596 Å
α = 90.00°, β = 90.00°, γ = 90.00°
Fractional positions:
1 Pm 0.0000 0.0000 0.0000
2 Pm 0.0000 0.5000 0.5000
3 Pm 0.5000 0.0000 0.5000
4 Pm 0.5000 0.5000 0.0000
5 Al 0.2500 0.2500 0.2500
6 Al 0.2500 0.7500 0.7500
7 Al 0.7500 0.2500 0.7500
8 Al 0.7500 0.7500 0.2500

SG: F-43m, No. 216
Crystal system: cubic
DFT total energy: -3.358 eV/atom

---

Density functional theory data (PBE-GGA) for crystalline NaTlCo2 at its relaxed geometry.

a = 6.3409 Å, b = 6.3409 Å, c = 6.3409 Å
α = 90.00°, β = 90.00°, γ = 90.00°
Fractional positions:
1 Na 0.0000 0.0000 0.0000
2 Na 0.0000 0.5000 0.5000
3 Na 0.5000 0.0000 0.5000
4 Na 0.5000 0.5000 0.0000
5 Tl 0.2500 0.2500 0.7500
6 Tl 0.2500 0.7500 0.2500
7 Tl 0.7500 0.2500 0.2500
8 Tl 0.7500 0.7500 0.7500
9 Co 0.0000 0.0000 0.5000
10 Co 0.0000 0.5000 0.0000
11 Co 0.2500 0.2500 0.2500
12 Co 0.2500 0.7500 0.7500
13 Co 0.5000 0.0000 0.0000
14 Co 0.5000 0.5000 0.5000
15 Co 0.7500 0.2500 0.7500
16 Co 0.7500 0.7500 0.2500

SG: F-43m, No. 216
Crystal system: cubic
DFT total energy: -3.837 eV/atom

---

Density functional theory data (PBE-GGA) for crystalline SmSiOs at its relaxed geometry.

a = 6.3520 Å, b = 6.3520 Å, c = 6.3520 Å
α = 90.00°, β = 90.00°, γ = 90.00°
Fractional positions:
1 Sm 0.0000 0.0000 0.0000
2 Sm 0.0000 0.5000 0.5000
3 Sm 0.5000 0.0000 0.5000
4 Sm 0.5000 0.5000 0.0000
5 Si 0.0000 0.0000 0.5000
6 Si 0.0000 0.5000 0.0000
7 Si 0.5000 0.0000 0.0000
8 Si 0.5000 0.5000 0.5000
9 Os 0.2500 0.2500 0.7500
10 Os 0.2500 0.7500 0.2500
11 Os 0.7500 0.2500 0.2500
12 Os 0.7500 0.7500 0.7500

SG: F-43m, No. 216
Crystal system: cubic
DFT total energy: -7.069 eV/atom

---

Density functional theory data (PBE-GGA) for crystalline LiTlAu at its relaxed geometry.

a = 6.5816 Å, b = 6.5816 Å, c = 6.5816 Å
α = 90.00°, β = 90.00°, γ = 90.00°
Fractional positions:
1 Li 0.0000 0.0000 0.0000
2 Li 0.0000 0.5000 0.5000
3 Li 0.5000 0.0000 0.5000
4 Li 0.5000 0.5000 0.0000
5 Tl 0.0000 0.0000 0.5000
6 Tl 0.0000 0.5000 0.0000
7 Tl 0.5000 0.0000 0.0000
8 Tl 0.5000 0.5000 0.5000
9 Au 0.2500 0.2500 0.2500
10 Au 0.2500 0.7500 0.7500
11 Au 0.7500 0.2500 0.7500
12 Au 0.7500 0.7500 0.2500

SG: F-43m, No. 216
Crystal system: cubic
DFT total energy: -2.738 eV/atom

---

Result set for theoretical density: 6.7 6.9 3.5 9.0 9.6 9.5 g/cm³, one per record in the order listed.